Record 1
# Sm3Hg2Pd2 PBE optimized geometry
# **V**: 24.77 A^3/atom
# **DFT formation energy**: -660.3 meV/atom
# **Magnetic moment**: 0.1 μB per formula unit
data_Sm3Hg2Pd2
_chemical_formula_sum 'Sm6 Hg4 Pd4'
_space_group_name_H-M_alt 'C m m m'
_space_group_IT_number 65
_space_group_name_Hall '-C 2 2'
_cell_length_a 4.042
_cell_length_b 22.785
_cell_length_c 3.766
_cell_angle_alpha 90.00
_cell_angle_beta 90.00
_cell_angle_gamma 90.00
loop_
_atom_site_label
_atom_site_fract_x
_atom_site_fract_y
_atom_site_fract_z
Sm1 0.000 0.000 0.000
Sm2 0.000 0.168 0.000
Hg1 0.000 0.420 0.500
Pd1 0.000 0.290 0.500

Record 2
# SmHgPd2 PBE optimized geometry
# **V**: 20.32 A^3/atom
# **DFT formation energy**: -554.8 meV/atom
# **Magnetic moment**: 0.0 μB per formula unit
data_SmHgPd2
_chemical_formula_sum 'Sm1 Hg1 Pd2'
_space_group_name_H-M_alt 'P 4/m m m'
_space_group_IT_number 123
_space_group_name_Hall '-P 4 2'
_cell_length_a 4.538
_cell_length_b 4.538
_cell_length_c 3.945
_cell_angle_alpha 90.00
_cell_angle_beta 90.00
_cell_angle_gamma 90.00
loop_
_atom_site_label
_atom_site_fract_x
_atom_site_fract_y
_atom_site_fract_z
Sm1 0.000 0.000 0.000
Hg1 0.500 0.500 0.000
Pd1 0.000 0.500 0.500

Q: What is the DFT formation energy in the second record?
A: -554.8 meV/atom

Q: Among the records above, which one has the highest DFT formation energy?
A: SmHgPd2